TiV3O8 | Alexandria via LeMat-Bulk | GGA+U | relaxed; spin magnetization = 3.00 μB/f.u.; total energy = -8.06 eV/atom
1.0
-5.8053 -0.6587 -2.6979
-5.2842 -3.6484 -0.4252
-8.5194 4.9891 8.5169
O V Ti
16 6 2
direct
0.5620 0.5539 0.8178
0.1430 0.1376 0.6463
0.4427 0.4468 0.6869
0.2414 0.2366 0.3268
0.7566 0.7606 0.1747
0.8655 0.8720 0.8519
0.8720 0.8655 0.3519
0.6342 0.6408 0.9985
0.5539 0.5620 0.3178
0.1376 0.1430 0.1463
0.2366 0.2414 0.8268
0.3682 0.3663 0.5034
0.3663 0.3682 0.0034
0.6408 0.6342 0.4985
0.4468 0.4427 0.1869
0.7606 0.7566 0.6747
0.3025 0.2974 0.6379
0.6065 0.5932 0.6493
0.4428 0.3540 0.3475
0.3540 0.4428 0.8475
0.2974 0.3025 0.1379
0.5932 0.6065 0.1493
0.6960 0.6881 0.3586
0.6881 0.6960 0.8586